Entry 1:
Here is crystalline Cs2BePOs at its relaxed geometry from Alexandria. Energies are from PBE.

It has space group P4/mmm (No. 123), with a = 7.104 Å, b = 7.104 Å, c = 3.864 Å, α = 90.00°, β = 90.00° and γ = 90.00°. The distinct sites, in fractional coordinates, are Cs at (0.000, 0.500, 0.000), Be at (0.000, 0.000, 0.500), P at (0.000, 0.000, 0.000) and Os at (0.500, 0.500, 0.500).

The total energy comes out at -3.348 eV/atom. The value obtained for the density of states at the Fermi level is 0.441 states/eV/atom. The formation energy is 1.0669 eV/atom.



Entry 2:
Here is crystalline Ca2TeRu at its relaxed geometry from Alexandria. Energies are from PBE.

It has space group I-4m2 (No. 119), with a = 4.366 Å, b = 4.366 Å, c = 10.221 Å, α = 90.00°, β = 90.00° and γ = 90.00°. The distinct sites, in fractional coordinates, are Ca at (0.000, 0.000, 0.000), Ca at (0.000, 0.500, 0.250), Te at (0.000, 0.000, 0.500) and Ru at (0.000, 0.500, 0.750).

The total energy comes out at -4.256 eV/atom. The value obtained for the density of states at the Fermi level is 0.927 states/eV/atom.



Entry 3:
Here is crystalline Rb2ScSeF6 at its relaxed geometry from Alexandria. Energies are from PBE.

It has space group I4/mmm (No. 139), with a = 7.085 Å, b = 7.085 Å, c = 8.230 Å, α = 90.00°, β = 90.00° and γ = 90.00°. The distinct sites, in fractional coordinates, are Rb at (0.000, 0.500, 0.250), Sc at (0.000, 0.000, 0.000), Se at (0.000, 0.000, 0.500), F at (0.000, 0.000, 0.255) and F at (0.199, 0.199, 0.000).

The total energy comes out at -5.007 eV/atom. The value obtained for the density of states at the Fermi level is 1.352 states/eV/atom.



Entry 4:
Here is crystalline PuZr2Sc2 at its relaxed geometry from Alexandria. Energies are from PBE.

It has space group C2/m (No. 12), with a = 10.966 Å, b = 5.313 Å, c = 8.623 Å, α = 90.00°, β = 110.05° and γ = 90.00°. The distinct sites, in fractional coordinates, are Pu at (0.249, 0.000, 0.242), Zr at (0.048, 0.000, 0.845), Zr at (0.148, 0.000, 0.533), Sc at (0.051, 0.500, 0.354) and Sc at (0.149, 0.500, 0.053).

The total energy comes out at -8.698 eV/atom. The calculation puts the distance to the lowest polymorph of the same formula at 83 meV/atom. The value obtained for the density of states at the Fermi level is 1.933 states/eV/atom. The formation energy is 0.1207 eV/atom.



Entry 5:
Here is crystalline BaAg2IrBr8 at its relaxed geometry from Alexandria. Energies are from PBE.

It has space group P-1 (No. 2), with a = 6.630 Å, b = 6.952 Å, c = 8.856 Å, α = 91.54°, β = 93.28° and γ = 109.51°. The distinct sites, in fractional coordinates, are Ba at (0.000, 0.000, 0.000), Ag at (0.006, 0.488, 0.755), Ir at (0.000, 0.000, 0.500), Br at (0.218, 0.773, 0.482), Br at (0.229, 0.240, 0.321), Br at (0.253, 0.217, 0.711) and Br at (0.274, 0.694, 0.991).

The total energy comes out at -3.211 eV/atom. The value obtained for the density of states at the Fermi level is 0.840 states/eV/atom.



Entry 6:
Here is crystalline ScTa4Fe5 at its relaxed geometry from Alexandria. Energies are from PBE.

It has space group P4/mmm (No. 123), with a = 3.064 Å, b = 3.064 Å, c = 15.461 Å, α = 90.00°, β = 90.00° and γ = 90.00°. The distinct sites, in fractional coordinates, are Sc at (0.000, 0.000, 0.000), Ta at (0.000, 0.000, 0.201), Ta at (0.000, 0.000, 0.401), Fe at (0.500, 0.500, 0.110), Fe at (0.500, 0.500, 0.302) and Fe at (0.500, 0.500, 0.500).

The total energy comes out at -9.784 eV/atom. The value obtained for the density of states at the Fermi level is 0.763 states/eV/atom. The formation energy is -0.1787 eV/atom.



Entry 7:
Here is crystalline Sm3HoSc at its relaxed geometry from Alexandria. Energies are from PBE.

It has space group C2/m (No. 12), with a = 17.997 Å, b = 5.001 Å, c = 7.063 Å, α = 90.00°, β = 100.71° and γ = 90.00°. The distinct sites, in fractional coordinates, are Sm at (0.003, 0.000, 0.253), Sm at (0.105, 0.500, 0.549), Sm at (0.202, 0.000, 0.847), Ho at (0.101, 0.500, 0.050) and Sc at (0.201, 0.000, 0.352).

The total energy comes out at -4.973 eV/atom. The calculation puts the distance to the lowest polymorph of the same formula at 0 meV/atom. The value obtained for the density of states at the Fermi level is 1.416 states/eV/atom. The formation energy is 0.0400 eV/atom.



Entry 8:
Here is crystalline Pr2HoTm9 at its relaxed geometry from Alexandria. Energies are from PBE.

It has space group P6/mmm (No. 191), with a = 11.1699 Å, b = 11.1699 Å, c = 3.4751 Å, α = 90.00°, β = 90.00° and γ = 120.00°. The distinct sites, in fractional coordinates, are Pr at (0.3333, 0.6667, 0.0000), Ho at (0.0000, 0.0000, 0.0000), Tm at (0.0000, 0.5000, 0.0000) and Tm at (0.1736, 0.3472, 0.5000).

The total energy comes out at -4.449 eV/atom. The calculation puts the distance to the lowest polymorph of the same formula at 53 meV/atom. The value obtained for the density of states at the Fermi level is 1.744 states/eV/atom. The formation energy is 0.0830 eV/atom.